This record from Alexandria describes an optimized crystal structure of Be2AlFe. The functional is GGA-PBE.

Summary:
calculated density = 3.7 g/cm³
E_tot = -4.552 eV/atom
SG = I-42d
formation energy = 1.450 eV/f.u.

a b c (Å): 6.167 6.167 4.956
angles (deg): 51.52 51.52 90.00
Each line ends with the local moment (μB).
Element x y z (fractional)
Al: 0.500 0.500 0.000  -0.02
Al: 0.250 0.750 0.500  -0.02
Be: 0.875 0.897 0.750  -0.02
Fe: 0.750 0.250 0.500  1.14
Be: 0.375 0.353 0.750  -0.02
Fe: 0.000 0.000 0.000  1.13
Be: 0.103 0.625 0.250  -0.02
Be: 0.647 0.125 0.250  -0.02

---

This record from Alexandria describes an optimized crystal structure of CsUCuO5. The functional is GGA-PBE.

Summary:
calculated density = 6.8 g/cm³
E_tot = -7.070 eV/atom
SG = C2/c
E_form (uncorrected) = -1942 meV/atom

a b c (Å): 6.787 6.787 7.823
angles (deg): 116.28 116.28 101.53
Element x y z (fractional)
O: 0.923 0.077 0.750
O: 0.614 0.777 0.799
O: 0.777 0.614 0.299
O: 0.280 0.940 0.685
Cs: 0.344 0.656 0.250
Cu: 0.703 0.297 0.250
Cu: 0.297 0.703 0.750
U: 0.000 0.000 0.500
O: 0.940 0.280 0.185
O: 0.223 0.386 0.701
O: 0.077 0.923 0.250
U: 0.000 0.000 0.000
O: 0.720 0.060 0.315
Cs: 0.656 0.344 0.750
O: 0.060 0.720 0.815
O: 0.386 0.223 0.201

---

- Look up the calculated density of the first one.
  3.7 g/cm³